Compound: Er4CdOsPd2
Source: the Alexandria database
Functional: GGA-PBE
Structure: relaxed

total magnetization: 0.00 Bohr magnetons per cell
formation enthalpy at 0 K: -58.55 kJ per mole of atoms

Cell and atoms, written as CIF:
```
data_Er4CdOsPd2
_symmetry_space_group_name_H-M 'R -3 m'
_symmetry_Int_Tables_number 166
_symmetry_space_group_name_Hall '-R 3 2"'
_cell_length_a 4.9527
_cell_length_b 4.9527
_cell_length_c 24.4503
_cell_angle_alpha 90.00
_cell_angle_beta 90.00
_cell_angle_gamma 120.00
loop_
_atom_site_label
_atom_site_type_symbol
_atom_site_fract_x
_atom_site_fract_y
_atom_site_fract_z
_atom_site_occupancy
Er1 Er 0.0000 0.0000 0.1164 1
Er2 Er 0.0000 0.0000 0.3682 1
Cd1 Cd 0.0000 0.0000 0.5000 1
Os1 Os 0.0000 0.0000 0.0000 1
Pd1 Pd 0.0000 0.0000 0.2476 1
```